Be3AlO: relaxed, GGA-PBEsol.

Values from the calculation:
- DOS at the Fermi energy (states/eV per cell) = 2.14
- V (Å³ per atom) = 9.8
- energy (eV per atom) = -4.4860
- E_form (uncorrected) (meV per atom) = -218

Cell: 3.6643 3.6643 3.6643 Å, 90.00 90.00 90.00°
Space group Pm-3m (No. 221)
Inequivalent atoms, fractional coordinates:
1 Be 0.0000 0.0000 0.5000 [3 per cell]
2 Al 0.5000 0.5000 0.5000 [1 per cell]
3 O 0.0000 0.0000 0.0000 [1 per cell]


Be2AlOs: relaxed, GGA-PBEsol.

Values from the calculation:
- DOS at the Fermi energy (states/eV per cell) = 1.23
- V (Å³ per atom) = 11.0
- energy (eV per atom) = -6.3940
- DFT formation energy (meV per atom) = -317

Cell: 3.0501 3.7439 7.6728 Å, 90.00 90.00 90.00°
Space group Imm2 (No. 44)
Inequivalent atoms, fractional coordinates:
1 Be 0.0000 0.0000 0.0000 [2 per cell]
2 Be 0.0000 0.5000 0.2748 [2 per cell]
3 Al 0.0000 0.0000 0.5115 [2 per cell]
4 Os 0.0000 0.5000 0.7452 [2 per cell]


Be4AlOs: relaxed, GGA-PBEsol.

Values from the calculation:
- DOS at the Fermi energy (states/eV per cell) = 9.66
- V (Å³ per atom) = 9.5
- energy (eV per atom) = -5.7514
- DFT formation energy (meV per atom) = -367

Cell: 6.1029 6.1029 6.1029 Å, 90.00 90.00 90.00°
Space group F-43m (No. 216)
Inequivalent atoms, fractional coordinates:
1 Be 0.1230 0.1230 0.3770 [16 per cell]
2 Al 0.0000 0.0000 0.0000 [4 per cell]
3 Os 0.2500 0.2500 0.7500 [4 per cell]


Be3AlOs: relaxed, GGA-PBEsol.

Values from the calculation:
- DOS at the Fermi energy (states/eV per cell) = 5.10
- V (Å³ per atom) = 12.9
- energy (eV per atom) = -4.0494
- DFT formation energy (meV per atom) = 1612

Cell: 4.0060 4.0060 4.0060 Å, 90.00 90.00 90.00°
Space group Pm-3m (No. 221)
Inequivalent atoms, fractional coordinates:
1 Be 0.0000 0.0000 0.5000 [3 per cell]
2 Al 0.0000 0.0000 0.0000 [1 per cell]
3 Os 0.5000 0.5000 0.5000 [1 per cell]